Below is a relaxed structure of TaReCl2, with properties calculated at the PBE level.

Geometry as POSCAR:
```
TaReCl2
1.0
2.946 0.000 0.000
-1.473 2.551 0.000
0.000 0.000 32.629
Ta Re Cl
3 3 6
direct
0.000 0.000 0.000
0.333 0.667 0.667
0.667 0.333 0.333
0.000 0.000 0.500
0.333 0.667 0.167
0.667 0.333 0.833
0.000 0.000 0.276
0.000 0.000 0.724
0.333 0.667 0.390
0.333 0.667 0.943
0.667 0.333 0.057
0.667 0.333 0.610
```

Values from the calculation:
The uncorrected formation energy is 0.41 eV/atom. As for the distance to the lowest polymorph of the same formula: 910 meV/atom. As for the magnetization: 1.8 μB per formula unit.


Below is a relaxed structure of CeNdNiRu, with properties calculated at the PBE level.

Geometry as POSCAR:
```
CeNdNiRu
1.0
6.948 0.000 0.000
0.000 6.948 0.000
0.000 0.000 6.948
Ce Nd Ni Ru
4 4 4 4
direct
0.000 0.000 0.000
0.000 0.500 0.500
0.500 0.000 0.500
0.500 0.500 0.000
0.000 0.000 0.500
0.000 0.500 0.000
0.500 0.000 0.000
0.500 0.500 0.500
0.250 0.250 0.750
0.250 0.750 0.250
0.750 0.250 0.250
0.750 0.750 0.750
0.250 0.250 0.250
0.250 0.750 0.750
0.750 0.250 0.750
0.750 0.750 0.250
```

Values from the calculation:
As for the distance to the lowest polymorph of the same formula: 122 meV/atom. As for the magnetization: 0.4 μB per formula unit. The calculated formation energy is -220 meV/atom.


Below is a relaxed structure of K4CePr3S8, with properties calculated at the PBE level.

Geometry as POSCAR:
```
K4CePr3S8
1.0
4.231 2.443 7.389
-4.231 2.443 7.389
0.000 -4.885 7.389
K Ce Pr S
4 1 3 8
direct
0.000 0.000 0.000
0.000 0.500 0.500
0.500 0.000 0.500
0.500 0.500 0.000
0.500 0.500 0.500
0.000 0.000 0.500
0.000 0.500 0.000
0.500 0.000 0.000
0.236 0.236 0.236
0.238 0.735 0.735
0.265 0.265 0.762
0.265 0.762 0.265
0.735 0.238 0.735
0.735 0.735 0.238
0.762 0.265 0.265
0.764 0.764 0.764
```

Values from the calculation:
The uncorrected formation energy is -1.83 eV/atom. As for the magnetization: 1.0 μB per formula unit.


Below is a relaxed structure of ZrBeAs2, with properties calculated at the PBE level.

Geometry as POSCAR:
```
ZrBeAs2
1.0
3.781 0.000 0.000
0.000 3.790 0.000
0.000 0.000 9.518
Zr Be As
2 2 4
direct
0.000 0.000 0.000
0.500 0.500 0.500
0.000 0.500 0.250
0.500 0.000 0.750
0.000 0.000 0.502
0.000 0.500 0.751
0.500 0.000 0.251
0.500 0.500 0.002
```

Values from the calculation:
As for the magnetization: 0.0 μB per formula unit. The calculated formation energy is -250 meV/atom.


Below is a relaxed structure of NiSe2Cl6, with properties calculated at the PBE level.

Geometry as POSCAR:
```
NiSe2Cl6
1.0
6.343 -6.392 0.000
6.343 6.392 0.000
-0.718 0.000 6.541
Ni Se Cl
2 4 12
direct
0.062 0.938 0.750
0.938 0.062 0.250
0.286 0.522 0.733
0.478 0.714 0.767
0.522 0.286 0.233
0.714 0.478 0.267
0.040 0.157 0.928
0.075 0.707 0.609
0.157 0.040 0.428
0.293 0.925 0.891
0.323 0.426 0.252
0.426 0.323 0.752
0.574 0.677 0.248
0.677 0.574 0.748
0.707 0.075 0.109
0.843 0.960 0.572
0.925 0.293 0.391
0.960 0.843 0.072
```

Values from the calculation:
The uncorrected formation energy is -0.28 eV/atom. As for the magnetization: 1.0 μB per formula unit.


Below is a relaxed structure of TbScBeHg, with properties calculated at the PBE level.

Geometry as POSCAR:
```
TbScBeHg
1.0
7.014 0.000 0.000
0.000 7.014 0.000
0.000 0.000 7.014
Tb Sc Be Hg
4 4 4 4
direct
0.000 0.000 0.000
0.000 0.500 0.500
0.500 0.000 0.500
0.500 0.500 0.000
0.000 0.000 0.500
0.000 0.500 0.000
0.500 0.000 0.000
0.500 0.500 0.500
0.250 0.250 0.750
0.250 0.750 0.250
0.750 0.250 0.250
0.750 0.750 0.750
0.250 0.250 0.250
0.250 0.750 0.750
0.750 0.250 0.750
0.750 0.750 0.250
```

Values from the calculation:
As for the magnetization: 0.0 μB per formula unit. The calculated formation energy is -117 meV/atom.


Below is a relaxed structure of CePr8Nd6, with properties calculated at the PBE level.

Geometry as POSCAR:
```
CePr8Nd6
1.0
4.772 2.755 6.827
-4.772 2.755 6.827
0.000 -5.510 6.827
Ce Pr Nd
1 8 6
direct
0.000 0.000 0.000
0.085 0.664 0.768
0.232 0.915 0.336
0.336 0.232 0.915
0.427 0.427 0.427
0.573 0.573 0.573
0.664 0.768 0.085
0.768 0.085 0.664
0.915 0.336 0.232
0.106 0.261 0.561
0.261 0.561 0.106
0.439 0.894 0.739
0.561 0.106 0.261
0.739 0.439 0.894
0.894 0.739 0.439
```

Values from the calculation:
As for the magnetization: 1.6 μB per formula unit. The calculated formation energy is 158 meV/atom.


Below is a relaxed structure of YMg4Ag2, with properties calculated at the PBE level.

Geometry as POSCAR:
```
YMg4Ag2
1.0
4.301 0.000 0.000
0.000 17.165 0.000
0.000 0.000 4.297
Y Mg Ag
2 8 4
direct
0.000 0.000 0.000
0.500 0.500 0.000
0.000 0.179 0.500
0.000 0.320 0.000
0.000 0.680 0.000
0.000 0.821 0.500
0.500 0.180 0.000
0.500 0.321 0.500
0.500 0.679 0.500
0.500 0.820 0.000
0.000 0.422 0.500
0.000 0.578 0.500
0.500 0.078 0.500
0.500 0.922 0.500
```

Values from the calculation:
As for the distance to the lowest polymorph of the same formula: 23 meV/atom. As for the magnetization: 0.0 μB per formula unit. The calculated formation energy is -147 meV/atom.


Below is a relaxed structure of Tb6Pr3Dy2In, with properties calculated at the PBE level.

Geometry as POSCAR:
```
Tb6Pr3Dy2In
1.0
3.091 -5.355 0.000
3.091 5.355 0.000
-2.065 0.000 11.561
Tb Pr Dy In
6 3 2 1
direct
0.080 0.407 0.242
0.247 0.247 0.757
0.407 0.080 0.242
0.593 0.920 0.758
0.753 0.753 0.243
0.920 0.593 0.758
0.168 0.832 0.500
0.500 0.500 0.500
0.832 0.168 0.500
0.334 0.666 0.000
0.666 0.334 0.000
0.000 0.000 0.000
```

Values from the calculation:
As for the magnetization: 0.0 μB per formula unit. The calculated formation energy is -37 meV/atom.


Below is a relaxed structure of GaBSe2, with properties calculated at the PBE level.

Geometry as POSCAR:
```
GaBSe2
1.0
3.179 0.000 0.000
-1.589 2.753 0.000
0.000 0.000 25.870
Ga B Se
3 3 6
direct
0.000 0.000 0.000
0.333 0.667 0.667
0.667 0.333 0.333
0.000 0.000 0.500
0.333 0.667 0.167
0.667 0.333 0.833
0.000 0.000 0.115
0.000 0.000 0.885
0.333 0.667 0.551
0.333 0.667 0.782
0.667 0.333 0.218
0.667 0.333 0.449
```

Values from the calculation:
The uncorrected formation energy is 0.38 eV/atom. As for the distance to the lowest polymorph of the same formula: 597 meV/atom. As for the magnetization: 0.0 μB per formula unit.


Below is a relaxed structure of Y2GeHPd6, with properties calculated at the PBE level.

Geometry as POSCAR:
```
Y2GeHPd6
1.0
4.941 -2.845 0.000
4.941 2.845 0.000
-3.334 0.000 5.985
Y Ge H Pd
2 1 1 6
direct
0.221 0.221 0.169
0.779 0.779 0.831
0.500 0.500 0.000
0.000 0.000 0.500
0.230 0.230 0.688
0.233 0.734 0.693
0.266 0.767 0.307
0.734 0.233 0.693
0.767 0.266 0.307
0.770 0.770 0.312
```

Values from the calculation:
For the total energy, the calculation gives -5.91 eV/atom. As for the magnetization: 0.0 μB per formula unit.


Below is a relaxed structure of BaSNCl2, with properties calculated at the PBE level.

Geometry as POSCAR:
```
BaSNCl2
1.0
6.027 0.000 0.000
0.000 6.027 0.000
0.000 0.000 6.704
Ba S N Cl
1 1 1 2
direct
0.000 0.000 0.000
0.000 0.000 0.500
0.500 0.500 0.500
0.000 0.500 0.000
0.500 0.000 0.000
```

Values from the calculation:
The uncorrected formation energy is 0.25 eV/atom. As for the distance to the lowest polymorph of the same formula: 698 meV/atom. As for the magnetization: 5.0 μB per formula unit.